A plane-wave DFT calculation with PBE was carried out for an optimized crystal structure of NdSmMg17.

- calculated volume (Å³ per atom) = 24.4
- uncorrected energy (eV per cell) = -37.529
- crystal system = trigonal
- total magnetization (μB/cell) = 0.000

Cell lengths 7.809, 7.809, 7.809 Å; angles 82.24, 82.24, 82.24 degrees
Positions (direct):
Mg  0.646  0.646  0.160
Mg  0.353  0.353  0.841
Mg  0.301  0.001  0.699
Nd  0.670  0.670  0.670
Mg  0.353  0.841  0.353
Mg  0.999  0.999  0.500
Mg  0.500  0.999  0.999
Mg  0.999  0.500  0.999
Mg  0.901  0.901  0.901
Mg  0.699  0.001  0.301
Mg  0.001  0.301  0.699
Mg  0.160  0.646  0.646
Mg  0.099  0.099  0.099
Mg  0.841  0.353  0.353
Mg  0.301  0.699  0.001
Mg  0.001  0.699  0.301
Sm  0.329  0.329  0.329
Mg  0.699  0.301  0.001
Mg  0.646  0.160  0.646


A plane-wave DFT calculation with PBE was carried out for an optimized crystal structure of HgMoRh.

- calculated volume (Å³ per atom) = 16.8
- uncorrected energy (eV per cell) = -18.066
- crystal system = tetragonal
- total magnetization (μB/cell) = 0.000

Cell lengths 6.412, 6.412, 2.883 Å; angles 77.00, 77.02, 25.98 degrees
Positions (direct):
Rh  0.680  0.680  0.320
Hg  0.002  0.002  0.998
Mo  0.318  0.318  0.682


A plane-wave DFT calculation with PBE was carried out for an optimized crystal structure of LiTa3Ni.

- calculated volume (Å³ per atom) = 20.0
- uncorrected energy (eV per cell) = -38.227
- crystal system = cubic
- total magnetization (μB/cell) = 0.000

Cell lengths 4.642, 4.642, 4.642 Å; angles 90.00, 90.00, 90.00 degrees
Positions (direct):
Ta  0.000  0.000  0.500
Li  0.500  0.500  0.500
Ta  0.500  0.000  0.000
Ni  0.000  0.000  0.000
Ta  0.000  0.500  0.000